A relaxed structure of Hf3ZnN. Source: the Alexandria database, functional GGA-PBEsol.

The value obtained for the magnetization is 0.0 μB per formula unit. Its total energy is -0.3425 Ha/atom. As for the uncorrected formation energy: -4.99 eV/f.u. The density of states at the Fermi level comes out at 12.8 states/eV per cell.

The structure belongs to space group Cmcm (No. 63); the cell edges are 3.278, 11.161 and 8.703 Å and the angles 90.00°, 90.00° and 90.00°. The inequivalent atoms are Hf at (0.000, 0.047, 0.250), Hf at (0.000, 0.372, 0.047), Zn at (0.000, 0.255, 0.750) and N at (0.000, 0.000, 0.000).

***

A relaxed structure of Hf3ZrN. Source: the Alexandria database, functional GGA-PBEsol.

The value obtained for the magnetization is 0.0 μB per formula unit. Its total energy is -0.3909 Ha/atom. As for the uncorrected formation energy: -4.06 eV/f.u. The density of states at the Fermi level comes out at 4.2 states/eV per cell.

The structure belongs to space group Pm-3m (No. 221); the cell edges are 4.460, 4.460 and 4.460 Å and the angles 90.00°, 90.00° and 90.00°. The inequivalent atoms are Hf at (0.000, 0.000, 0.500), Zr at (0.500, 0.500, 0.500) and N at (0.000, 0.000, 0.000).

***

A relaxed structure of HfZrN2. Source: the Alexandria database, functional GGA-PBEsol.

The value obtained for the magnetization is 0.0 μB per formula unit. Its total energy is -0.4096 Ha/atom. As for the uncorrected formation energy: -7.94 eV/f.u. The density of states at the Fermi level comes out at 3.6 states/eV per cell.

The structure belongs to space group R-3m (No. 166, hexagonal axes); the cell edges are 3.1903, 3.1903 and 15.7568 Å and the angles 90.00°, 90.00° and 120.00°. The inequivalent atoms are Hf at (0.0000, 0.0000, 0.0000), Zr at (0.0000, 0.0000, 0.5000) and N at (0.0000, 0.0000, 0.2537).

***

A relaxed structure of NaHf2Nb. Source: the Alexandria database, functional GGA-PBEsol.

The value obtained for the magnetization is 0.0 μB per formula unit. Its total energy is -0.2839 Ha/atom. The density of states at the Fermi level comes out at 19.6 states/eV per cell. The calculation puts the formation energy from the elements at 0.582 eV per atom.

The structure belongs to space group Fm-3m (No. 225); the cell edges are 6.839, 6.839 and 6.839 Å and the angles 90.00°, 90.00° and 90.00°. The inequivalent atoms are Na at (0.000, 0.000, 0.000), Hf at (0.250, 0.250, 0.250) and Nb at (0.000, 0.000, 0.500).